Record 1
A PBEsol-optimized structure of LiTc2Ag, computed with SCAN.

a = 4.5307 Å, b = 4.5307 Å, c = 5.1642 Å
α = 93.42°, β = 93.42°, γ = 33.12°
Fractional coordinates of all 4 atoms:
1 Li 0.0000 0.0000 0.0000
2 Tc 0.2457 0.2457 0.7050
3 Tc 0.4859 0.4859 0.5209
4 Ag 0.7493 0.7493 0.1985

Crystal system = monoclinic
Volume = 57.81 Å³/cell
ΔH_f (0 K) = 0.27 eV per atom
Polymorph energy (0 for the lowest one) = 0.00 eV per formula unit
Symmetry = Cm (8)

---

Record 2
A PBEsol-optimized structure of LiTc2Ag, computed with SCAN.

a = 5.1625 Å, b = 5.1625 Å, c = 5.1625 Å
α = 140.10°, β = 140.10°, γ = 57.70°
Fractional coordinates of all 4 atoms:
1 Li 0.0000 0.0000 0.0000
2 Tc 0.2500 0.7500 0.5000
3 Tc 0.7500 0.2500 0.5000
4 Ag 0.5000 0.5000 0.0000

Crystal system = tetragonal
Volume = 56.12 Å³/cell
ΔH_f (0 K) = 0.32 eV per atom
Polymorph energy (0 for the lowest one) = 0.20 eV per formula unit
Symmetry = I4/mmm (139)

---

Record 3
A PBEsol-optimized structure of LiTc2Ag, computed with SCAN.

a = 4.2953 Å, b = 4.2953 Å, c = 4.2953 Å
α = 119.87°, β = 119.87°, γ = 90.23°
Fractional coordinates of all 4 atoms:
1 Li 0.0000 0.0000 0.0000
2 Tc 0.2500 0.7500 0.5000
3 Tc 0.5000 0.5000 0.0000
4 Ag 0.7500 0.2500 0.5000

Crystal system = tetragonal
Volume = 56.15 Å³/cell
ΔH_f (0 K) = 0.37 eV per atom
Polymorph energy (0 for the lowest one) = 0.41 eV per formula unit
Symmetry = I-4m2 (119)

---

Record 4
A PBEsol-optimized structure of LiTc2Ag, computed with SCAN.

a = 2.5330 Å, b = 2.5330 Å, c = 9.0236 Å
α = 90.00°, β = 90.00°, γ = 90.00°
Fractional coordinates of all 4 atoms:
1 Li 0.0000 0.0000 0.0000
2 Tc 0.5000 0.5000 0.2453
3 Tc 0.5000 0.5000 0.7547
4 Ag 0.0000 0.0000 0.5000

Crystal system = tetragonal
Volume = 57.89 Å³/cell
ΔH_f (0 K) = 0.45 eV per atom
Polymorph energy (0 for the lowest one) = 0.73 eV per formula unit
Symmetry = P4/mmm (123)

---

Record 5
A PBEsol-optimized structure of LiTc3Ag, computed with SCAN.

a = 4.0901 Å, b = 4.0901 Å, c = 4.0901 Å
α = 90.00°, β = 90.00°, γ = 90.00°
Fractional coordinates of all 5 atoms:
1 Li 0.0000 0.0000 0.0000
2 Tc 0.0000 0.0000 0.5000
3 Tc 0.0000 0.5000 0.0000
4 Tc 0.5000 0.0000 0.0000
5 Ag 0.5000 0.5000 0.5000

Crystal system = cubic
Volume = 68.42 Å³/cell
ΔH_f (0 K) = 1.35 eV per atom
Symmetry = Pm-3m (221)

---

Record 6
A PBEsol-optimized structure of Li2TcAgTe, computed with SCAN.

a = 4.4379 Å, b = 4.4379 Å, c = 5.3284 Å
α = 90.00°, β = 90.00°, γ = 90.00°
Fractional coordinates of all 5 atoms:
1 Li 0.0000 0.5000 0.0000
2 Li 0.5000 0.0000 0.0000
3 Tc 0.0000 0.0000 0.5000
4 Ag 0.5000 0.5000 0.0000
5 Te 0.5000 0.5000 0.5000

Crystal system = tetragonal
Volume = 104.94 Å³/cell
Symmetry = P4/mmm (123)

---

Record 7
A PBEsol-optimized structure of Li2AgTe2, computed with SCAN.

a = 8.1454 Å, b = 8.1454 Å, c = 3.2855 Å
α = 90.00°, β = 90.00°, γ = 90.00°
Fractional coordinates of all 10 atoms:
1 Li 0.1252 0.3748 0.0000
2 Li 0.3748 0.8748 0.0000
3 Li 0.6252 0.1252 0.0000
4 Li 0.8748 0.6252 0.0000
5 Ag 0.0000 0.0000 0.5000
6 Ag 0.5000 0.5000 0.5000
7 Te 0.1784 0.6784 0.5000
8 Te 0.3216 0.1784 0.5000
9 Te 0.6784 0.8216 0.5000
10 Te 0.8216 0.3216 0.5000

Crystal system = tetragonal
Volume = 217.98 Å³/cell
Symmetry = P4/mbm (127)

---

Record 8
A PBEsol-optimized structure of LiTi3Ag, computed with SCAN.

a = 4.3392 Å, b = 4.3392 Å, c = 4.3392 Å
α = 90.00°, β = 90.00°, γ = 90.00°
Fractional coordinates of all 5 atoms:
1 Li 0.0000 0.0000 0.0000
2 Ti 0.0000 0.0000 0.5000
3 Ti 0.0000 0.5000 0.0000
4 Ti 0.5000 0.0000 0.0000
5 Ag 0.5000 0.5000 0.5000

Crystal system = cubic
Volume = 81.70 Å³/cell
ΔH_f (0 K) = 0.92 eV per atom
Symmetry = Pm-3m (221)

---

Record 9
A PBEsol-optimized structure of Li2TlAg, computed with SCAN.

a = 3.1717 Å, b = 3.3918 Å, c = 6.3927 Å
α = 90.00°, β = 90.00°, γ = 90.00°
Fractional coordinates of all 4 atoms:
1 Li 0.0000 0.0000 0.2269
2 Li 0.0000 0.0000 0.7731
3 Tl 0.5000 0.5000 0.5000
4 Ag 0.5000 0.5000 0.0000

Crystal system = orthorhombic
Volume = 68.77 Å³/cell
ΔH_f (0 K) = -0.25 eV per atom
Symmetry = Pmmm (47)

---

Record 10
A PBEsol-optimized structure of LiTlAg2, computed with SCAN.

a = 4.1136 Å, b = 4.1136 Å, c = 4.2529 Å
α = 90.00°, β = 90.00°, γ = 90.00°
Fractional coordinates of all 4 atoms:
1 Li 0.0000 0.0000 0.0000
2 Tl 0.5000 0.5000 0.0000
3 Ag 0.0000 0.5000 0.5000
4 Ag 0.5000 0.0000 0.5000

Crystal system = tetragonal
Volume = 71.97 Å³/cell
ΔH_f (0 K) = -0.09 eV per atom
Symmetry = P4/mmm (123)

---

Record 11
A PBEsol-optimized structure of LiTlAg2, computed with SCAN.

a = 3.3716 Å, b = 3.3716 Å, c = 6.4099 Å
α = 90.00°, β = 90.00°, γ = 90.00°
Fractional coordinates of all 4 atoms:
1 Li 0.0000 0.0000 0.0000
2 Tl 0.0000 0.0000 0.5000
3 Ag 0.5000 0.5000 0.2164
4 Ag 0.5000 0.5000 0.7836

Crystal system = tetragonal
Volume = 72.86 Å³/cell
ΔH_f (0 K) = -0.04 eV per atom
Symmetry = P4/mmm (123)

---

Record 12
A PBEsol-optimized structure of LiTlAg2, computed with SCAN.

a = 5.0542 Å, b = 5.0542 Å, c = 5.0542 Å
α = 131.23°, β = 131.23°, γ = 71.45°
Fractional coordinates of all 4 atoms:
1 Li 0.0000 0.0000 0.0000
2 Tl 0.2500 0.7500 0.5000
3 Ag 0.5000 0.5000 0.0000
4 Ag 0.7500 0.2500 0.5000

Crystal system = tetragonal
Volume = 71.47 Å³/cell
ΔH_f (0 K) = -0.11 eV per atom
Symmetry = I-4m2 (119)

---

Record 13
A PBEsol-optimized structure of LiTlAg2, computed with SCAN.

a = 2.9317 Å, b = 4.6869 Å, c = 5.3509 Å
α = 90.00°, β = 96.88°, γ = 90.00°
Fractional coordinates of all 4 atoms:
1 Li 0.0000 0.0000 0.0000
2 Tl 0.5000 0.0000 0.5000
3 Ag 0.2256 0.5000 0.7702
4 Ag 0.7744 0.5000 0.2298

Crystal system = monoclinic
Volume = 72.99 Å³/cell
ΔH_f (0 K) = -0.05 eV per atom
Symmetry = P2/m (10)

---

Record 14
A PBEsol-optimized structure of Li2TlAg, computed with SCAN.

a = 3.4332 Å, b = 3.4332 Å, c = 6.1564 Å
α = 90.00°, β = 90.00°, γ = 90.00°
Fractional coordinates of all 4 atoms:
1 Li 0.0000 0.0000 0.0000
2 Li 0.5000 0.5000 0.2606
3 Tl 0.0000 0.0000 0.5109
4 Ag 0.5000 0.5000 0.7953

Crystal system = tetragonal
Volume = 72.57 Å³/cell
ΔH_f (0 K) = -0.18 eV per atom
Symmetry = P4mm (99)

---

Record 15
A PBEsol-optimized structure of Li2TlAg, computed with SCAN.

a = 4.5653 Å, b = 4.5653 Å, c = 4.5653 Å
α = 60.00°, β = 60.00°, γ = 60.00°
Fractional coordinates of all 4 atoms:
1 Li 0.2500 0.2500 0.2500
2 Li 0.7500 0.7500 0.7500
3 Tl 0.0000 0.0000 0.0000
4 Ag 0.5000 0.5000 0.5000

Crystal system = cubic
Volume = 67.28 Å³/cell
ΔH_f (0 K) = -0.26 eV per atom
Symmetry = Fm-3m (225)

---

Record 16
A PBEsol-optimized structure of Li3TlAg, computed with SCAN.

a = 4.8123 Å, b = 4.8123 Å, c = 4.8123 Å
α = 90.00°, β = 90.00°, γ = 90.00°
Fractional coordinates of all 5 atoms:
1 Li 0.0000 0.0000 0.5000
2 Li 0.0000 0.5000 0.0000
3 Li 0.5000 0.0000 0.0000
4 Tl 0.5000 0.5000 0.5000
5 Ag 0.0000 0.0000 0.0000

Crystal system = cubic
Volume = 111.44 Å³/cell
ΔH_f (0 K) = 0.03 eV per atom
Symmetry = Pm-3m (221)

---

Record 17
A PBEsol-optimized structure of LiTlAg2, computed with SCAN.

a = 5.2028 Å, b = 5.2028 Å, c = 4.7202 Å
α = 108.00°, β = 108.00°, γ = 36.19°
Fractional coordinates of all 4 atoms:
1 Li 0.0000 0.0000 0.0000
2 Tl 0.5000 0.5000 0.5000
3 Ag 0.2634 0.2634 0.7646
4 Ag 0.7366 0.7366 0.2354

Crystal system = monoclinic
Volume = 71.34 Å³/cell
ΔH_f (0 K) = -0.07 eV per atom
Symmetry = C2/m (12)

---

Record 18
A PBEsol-optimized structure of Li2TlAg, computed with SCAN.

a = 3.1723 Å, b = 3.8619 Å, c = 5.9378 Å
α = 90.00°, β = 90.00°, γ = 90.00°
Fractional coordinates of all 4 atoms:
1 Li 0.0000 0.0000 0.0000
2 Li 0.5000 0.5000 0.2655
3 Tl 0.0000 0.0000 0.5099
4 Ag 0.5000 0.5000 0.7917

Crystal system = orthorhombic
Volume = 72.75 Å³/cell
ΔH_f (0 K) = -0.18 eV per atom
Symmetry = Pmm2 (25)

---

Record 19
A PBEsol-optimized structure of LiTlAg2, computed with SCAN.

a = 9.5970 Å, b = 9.5970 Å, c = 9.5970 Å
α = 18.23°, β = 18.23°, γ = 18.23°
Fractional coordinates of all 4 atoms:
1 Li 0.0000 0.0000 0.0000
2 Tl 0.5000 0.5000 0.5000
3 Ag 0.2580 0.2580 0.2580
4 Ag 0.7420 0.7420 0.7420

Crystal system = trigonal
Volume = 75.56 Å³/cell
ΔH_f (0 K) = 0.05 eV per atom
Symmetry = R-3m (166)

---

Record 20
A PBEsol-optimized structure of LiTlAg2, computed with SCAN.

a = 5.0904 Å, b = 5.0904 Å, c = 5.0904 Å
α = 132.03°, β = 132.03°, γ = 70.18°
Fractional coordinates of all 4 atoms:
1 Li 0.0000 0.0000 0.0000
2 Tl 0.5000 0.5000 0.0000
3 Ag 0.2500 0.7500 0.5000
4 Ag 0.7500 0.2500 0.5000

Crystal system = tetragonal
Volume = 71.34 Å³/cell
ΔH_f (0 K) = -0.10 eV per atom
Symmetry = I4/mmm (139)

---

Record 21
A PBEsol-optimized structure of LiTlAg2, computed with SCAN.

a = 3.2328 Å, b = 3.5262 Å, c = 6.2861 Å
α = 90.00°, β = 90.00°, γ = 90.00°
Fractional coordinates of all 4 atoms:
1 Li 0.0000 0.0000 0.0000
2 Tl 0.5000 0.5000 0.2662
3 Ag 0.0000 0.0000 0.5492
4 Ag 0.5000 0.5000 0.7853

Crystal system = orthorhombic
Volume = 71.66 Å³/cell
ΔH_f (0 K) = -0.10 eV per atom
Symmetry = Pmm2 (25)

---

Record 22
A PBEsol-optimized structure of Li2TlAg, computed with SCAN.

a = 4.6386 Å, b = 4.6386 Å, c = 4.6386 Å
α = 60.00°, β = 60.00°, γ = 60.00°
Fractional coordinates of all 4 atoms:
1 Li 0.0000 0.0000 0.0000
2 Li 0.2500 0.2500 0.2500
3 Tl 0.5000 0.5000 0.5000
4 Ag 0.7500 0.7500 0.7500

Crystal system = cubic
Volume = 70.57 Å³/cell
ΔH_f (0 K) = -0.27 eV per atom
Symmetry = F-43m (216)

---

Record 23
A PBEsol-optimized structure of LiTlAg, computed with SCAN.

a = 5.1625 Å, b = 5.1625 Å, c = 5.1625 Å
α = 140.47°, β = 140.47°, γ = 57.14°
Fractional coordinates of all 3 atoms:
1 Li 0.0000 0.0000 0.0000
2 Tl 0.6734 0.6734 0.0000
3 Ag 0.3535 0.3535 0.0000

Crystal system = tetragonal
Volume = 55.27 Å³/cell
ΔH_f (0 K) = -0.17 eV per atom
Polymorph energy (0 for the lowest one) = 0.00 eV per formula unit
Symmetry = I4mm (107)

---

Record 24
A PBEsol-optimized structure of Li2TlAg, computed with SCAN.

a = 4.9738 Å, b = 4.9738 Å, c = 4.9738 Å
α = 130.25°, β = 130.25°, γ = 73.00°
Fractional coordinates of all 4 atoms:
1 Li 0.0000 0.0000 0.0000
2 Li 0.7500 0.2500 0.5000
3 Tl 0.5000 0.5000 0.0000
4 Ag 0.2500 0.7500 0.5000

Crystal system = tetragonal
Volume = 69.99 Å³/cell
ΔH_f (0 K) = -0.27 eV per atom
Symmetry = I-4m2 (119)

---

Record 25
A PBEsol-optimized structure of LiTlAg2, computed with SCAN.

a = 4.6587 Å, b = 4.6587 Å, c = 4.6587 Å
α = 60.00°, β = 60.00°, γ = 60.00°
Fractional coordinates of all 4 atoms:
1 Li 0.0000 0.0000 0.0000
2 Tl 0.2500 0.2500 0.2500
3 Ag 0.5000 0.5000 0.5000
4 Ag 0.7500 0.7500 0.7500

Crystal system = cubic
Volume = 71.50 Å³/cell
ΔH_f (0 K) = -0.11 eV per atom
Symmetry = F-43m (216)

---

Record 26
A PBEsol-optimized structure of LiTlAg, computed with SCAN.

a = 4.6822 Å, b = 4.6822 Å, c = 3.0055 Å
α = 90.00°, β = 90.00°, γ = 120.00°
Fractional coordinates of all 3 atoms:
1 Li 0.0000 0.0000 0.0000
2 Tl 0.3333 0.6667 0.6494
3 Ag 0.6667 0.3333 0.3264

Crystal system = trigonal
Volume = 57.06 Å³/cell
ΔH_f (0 K) = -0.11 eV per atom
Polymorph energy (0 for the lowest one) = 0.18 eV per formula unit
Symmetry = P3m1 (156)

---

Record 27
A PBEsol-optimized structure of LiTlZnAg2, computed with SCAN.

a = 4.8218 Å, b = 4.8218 Å, c = 4.6675 Å
α = 90.00°, β = 90.00°, γ = 90.00°
Fractional coordinates of all 5 atoms:
1 Li 0.0000 0.0000 0.0000
2 Tl 0.5000 0.5000 0.0000
3 Zn 0.0000 0.0000 0.5000
4 Ag 0.0000 0.5000 0.5000
5 Ag 0.5000 0.0000 0.5000

Crystal system = tetragonal
Volume = 108.52 Å³/cell
ΔH_f (0 K) = 0.25 eV per atom
Symmetry = P4/mmm (123)

---

Record 28
A PBEsol-optimized structure of Li2AgW, computed with SCAN.

a = 4.7159 Å, b = 4.7159 Å, c = 2.5909 Å
α = 90.00°, β = 90.00°, γ = 90.00°
Fractional coordinates of all 4 atoms:
1 Li 0.0000 0.5000 0.0000
2 Li 0.5000 0.0000 0.0000
3 Ag 0.0000 0.0000 0.5000
4 W 0.5000 0.5000 0.5000

Crystal system = tetragonal
Volume = 57.62 Å³/cell
ΔH_f (0 K) = 0.65 eV per atom
Polymorph energy (0 for the lowest one) = 1.19 eV per formula unit
Symmetry = P4/mmm (123)

---

Record 29
A PBEsol-optimized structure of Li2AgW, computed with SCAN.

a = 4.2628 Å, b = 4.2628 Å, c = 4.2628 Å
α = 60.00°, β = 60.00°, γ = 60.00°
Fractional coordinates of all 4 atoms:
1 Li 0.2500 0.2500 0.2500
2 Li 0.7500 0.7500 0.7500
3 Ag 0.0000 0.0000 0.0000
4 W 0.5000 0.5000 0.5000

Crystal system = cubic
Volume = 54.77 Å³/cell
ΔH_f (0 K) = 0.94 eV per atom
Polymorph energy (0 for the lowest one) = 2.35 eV per formula unit
Symmetry = Fm-3m (225)

---

Record 30
A PBEsol-optimized structure of Li2AgW, computed with SCAN.

a = 2.6856 Å, b = 2.6856 Å, c = 8.5818 Å
α = 90.00°, β = 90.00°, γ = 90.00°
Fractional coordinates of all 4 atoms:
1 Li 0.0000 0.0000 0.0000
2 Li 0.5000 0.5000 0.2722
3 Ag 0.5000 0.5000 0.7722
4 W 0.0000 0.0000 0.5133

Crystal system = tetragonal
Volume = 61.89 Å³/cell
ΔH_f (0 K) = 0.36 eV per atom
Polymorph energy (0 for the lowest one) = 0.00 eV per formula unit
Symmetry = P4mm (99)

---

Final energy readings, ordered: -25.702, -25.652, -25.599, -25.519, -26.438, -20.954, -22.647, -15.445, -27.372, -34.459, -34.415, -34.476, -34.418, -27.304, -27.391, -22.148, -34.445, -27.307, -34.322, -34.469, -34.468, -27.398, -35.544, -27.391, -34.479, -35.484, -29.950, -25.806, -25.516, -26.103 eV per atom
Density readings, ordered: 8.928, 9.197, 9.192, 8.915, 9.921, 5.496, 5.743, 5.252, 7.875, 9.854, 9.732, 9.922, 9.715, 7.463, 8.049, 4.963, 9.941, 7.445, 9.386, 9.941, 9.896, 7.674, 9.589, 7.737, 9.919, 9.289, 7.536, 8.807, 9.264, 8.199 g/cm³